No. 1
DFT (PBE-GGA) results for a relaxed YCrTe2N crystal.

Cell lengths 5.4625, 5.4625, 3.6612 Å; angles 90.00, 90.00, 90.00 degrees
With the nearest neighbours (Å) after each atom.
Space group P4/mmm (No. 123)
Symmetry-distinct sites (fractional):
Y 0.0000 0.0000 0.0000  8 Te 3.29, 2 Y 3.66
Cr 0.5000 0.5000 0.5000  2 N 1.83
Te 0.0000 0.5000 0.5000  2 Cr 2.73
N 0.5000 0.5000 0.0000  2 Cr 1.83

Summary:
- Volume: 109.24 Å³ per cell
- DFT total energy: -6.5446 eV/atom

No. 2
DFT (PBE-GGA) results for a relaxed ZnCrTe2N crystal.

Cell lengths 5.4256, 5.4256, 3.5736 Å; angles 90.00, 90.00, 90.00 degrees
With the nearest neighbours (Å) after each atom.
Space group P4/mmm (No. 123)
Symmetry-distinct sites (fractional):
Zn 0.0000 0.0000 0.0000  2 N 1.79
Cr 0.5000 0.5000 0.5000  8 Te 3.25, 2 Cr 3.57
Te 0.0000 0.5000 0.0000  2 Zn 2.71
N 0.0000 0.0000 0.5000  2 Zn 1.79

Summary:
- Volume: 105.20 Å³ per cell
- DFT total energy: -3.8133 eV/atom